This record from Alexandria describes a relaxed Ti3SiTc crystal. The functional is PBE.

Lattice parameters (Å, degrees): 4.6509 4.6509 4.6509 90.00 90.00 90.00
Positions (direct):
Ti 0.0000 0.0000 0.5000
Ti 0.0000 0.5000 0.0000
Tc 0.0000 0.0000 0.0000
Si 0.5000 0.5000 0.5000
Ti 0.5000 0.0000 0.0000

ρ (g/cm³): 4.45
Total DFT energy (no corrections) (eV per atom): -7.31
Crystal system: cubic
E above lowest polymorph (kJ/mol of atoms): 0.0
Total magnetic moment (Bohr magnetons per cell): 1.6

---

This record from Alexandria describes a relaxed Ti5SiTc6 crystal. The functional is PBE.

Lattice parameters (Å, degrees): 4.3500 6.2150 7.5259 65.61 73.23 90.00
Positions (direct):
Tc 0.1647 0.9156 0.6709
Tc 0.8353 0.0844 0.3291
Tc 0.5000 0.2484 0.0000
Tc 0.1647 0.4135 0.6709
Ti 0.6691 0.6687 0.6626
Ti 0.3309 0.3313 0.3374
Tc 0.5000 0.7516 0.0000
Tc 0.8353 0.5865 0.3291
Ti 0.6613 0.1612 0.6776
Si 0.0000 0.0000 0.0000
Ti 0.0000 0.5000 0.0000
Ti 0.3387 0.8388 0.3224

ρ (g/cm³): 8.08
Total DFT energy (no corrections) (eV per atom): -9.43
Crystal system: orthorhombic
Total magnetic moment (Bohr magnetons per cell): 0.0

---

This record from Alexandria describes a relaxed Ti3SiTc crystal. The functional is PBE.

Lattice parameters (Å, degrees): 4.5247 4.5247 4.5247 90.00 90.00 90.00
Positions (direct):
Ti 0.0000 0.5000 0.0000
Ti 0.0000 0.0000 0.5000
Ti 0.5000 0.0000 0.0000
Tc 0.5000 0.5000 0.5000
Si 0.0000 0.0000 0.0000

ρ (g/cm³): 4.83
Total DFT energy (no corrections) (eV per atom): -7.30
Crystal system: cubic
E above lowest polymorph (kJ/mol of atoms): 0.9
Total magnetic moment (Bohr magnetons per cell): 0.0

---

This record from Alexandria describes a relaxed Ti2SiTc crystal. The functional is PBE.

Lattice parameters (Å, degrees): 7.0259 7.0259 5.6063 51.20 51.20 90.00
Positions (direct):
Ti 0.8750 0.8956 0.7500
Si 0.5000 0.5000 0.0000
Ti 0.1044 0.6250 0.2500
Tc 0.7500 0.2500 0.5000
Tc 0.0000 0.0000 0.0000
Ti 0.3750 0.3544 0.7500
Si 0.2500 0.7500 0.5000
Ti 0.6456 0.1250 0.2500

ρ (g/cm³): 5.74
Total DFT energy (no corrections) (eV per atom): -7.83
Crystal system: tetragonal
Total magnetic moment (Bohr magnetons per cell): 0.0

---

This record from Alexandria describes a relaxed TiSiTc crystal. The functional is PBE.

Lattice parameters (Å, degrees): 3.2509 6.7494 11.8806 90.00 90.00 90.00
Positions (direct):
Tc 0.5000 0.4255 0.1179
Si 0.5000 0.9415 0.5937
Si 0.5000 0.0585 0.4063
Tc 0.5000 0.4255 0.3821
Ti 0.0000 0.8377 0.7500
Tc 0.5000 0.8150 0.2500
Tc 0.5000 0.1850 0.7500
Ti 0.0000 0.1623 0.2500
Ti 0.0000 0.2544 0.9533
Ti 0.0000 0.2544 0.5467
Si 0.5000 0.0585 0.0937
Tc 0.5000 0.5745 0.6179
Ti 0.0000 0.7456 0.4533
Tc 0.5000 0.5745 0.8821
Si 0.0000 0.4480 0.7500
Ti 0.0000 0.7456 0.0467
Si 0.0000 0.5520 0.2500
Si 0.5000 0.9415 0.9063

ρ (g/cm³): 6.65
Total DFT energy (no corrections) (eV per atom): -8.63
Crystal system: orthorhombic
E above lowest polymorph (kJ/mol of atoms): 9.7
Total magnetic moment (Bohr magnetons per cell): 0.0

---

This record from Alexandria describes a relaxed TiSi2Tc crystal. The functional is PBE.

Lattice parameters (Å, degrees): 3.6710 3.6710 9.3893 78.73 78.73 90.00
Positions (direct):
Ti 0.5000 0.5000 0.0000
Si 0.1325 0.6250 0.2500
Tc 0.0000 0.0000 0.0000
Ti 0.2500 0.7500 0.5000
Tc 0.7500 0.2500 0.5000
Si 0.8750 0.8675 0.7500
Si 0.3750 0.3825 0.7500
Si 0.6175 0.1250 0.2500

ρ (g/cm³): 5.52
Total DFT energy (no corrections) (eV per atom): -7.36
Crystal system: tetragonal
E above lowest polymorph (kJ/mol of atoms): 36.5
Total magnetic moment (Bohr magnetons per cell): 0.0